# 1
Below is NbPd3 after structural relaxation, with properties calculated at the GGA-PBE level.

Cell: 4.6027 5.5588 4.9157 Å, 90.00 90.00 90.00°
Space group Pmmn (No. 59, origin choice 2)
Inequivalent atoms, fractional coordinates:
Nb  0.2500  0.2500  0.1562 x2
Pd  0.2500  0.0001  0.6641 x4
Pd  0.2500  0.7500  0.1597 x2

Computed properties:
The energy of formation is -0.421 eV/atom. The density comes out at 10.88 g/cm3. As for the density of states at the Fermi level: 0.61 states/eV/atom.


# 2
Below is PIrCl2 after structural relaxation, with properties calculated at the GGA-PBE level.

Cell: 4.1496 4.1496 16.5488 Å, 90.00 90.00 90.00°
Space group I-42d (No. 122)
Inequivalent atoms, fractional coordinates:
P  0.0000  0.0000  0.0000 x4
Ir  0.0000  0.0000  0.5000 x4
Cl  0.2373  0.2500  0.6250 x8

Computed properties:
The excess energy over the best structure of this formula in the dataset is 1451 meV per atom. The calculation puts the uncorrected formation energy at 789 meV per atom. The density comes out at 6.86 g/cm3. As for the density of states at the Fermi level: 0.51 states/eV/atom.


# 3
Below is PrTmCd4 after structural relaxation, with properties calculated at the GGA-PBE level.

Cell: 3.4318 5.0363 8.7200 Å, 90.00 90.00 90.00°
Space group Pmmm (No. 47)
Inequivalent atoms, fractional coordinates:
Pr  0.0000  0.0000  0.0000 x1
Tm  0.0000  0.5000  0.5000 x1
Cd  0.5000  0.0000  0.3387 x2
Cd  0.5000  0.5000  0.1737 x2

Computed properties:
The excess energy over the best structure of this formula in the dataset is 0 meV per atom. The energy of formation is -0.315 eV/atom. The density comes out at 8.37 g/cm3. As for the density of states at the Fermi level: 0.64 states/eV/atom.


# 4
Below is LiSc2TlH after structural relaxation, with properties calculated at the GGA-PBE level.

Cell: 4.5170 4.5170 4.1759 Å, 90.00 90.00 90.00°
Space group P4/mmm (No. 123)
Inequivalent atoms, fractional coordinates:
Li  0.0000  0.0000  0.0000 x1
Sc  0.0000  0.5000  0.5000 x2
Tl  0.5000  0.5000  0.0000 x1
H  0.0000  0.0000  0.5000 x1

Computed properties:
The value obtained for the calculated total energy is -4.38 eV/atom. The density comes out at 5.89 g/cm3. As for the density of states at the Fermi level: 0.62 states/eV/atom.


# 5
Below is CsTl4Se4 after structural relaxation, with properties calculated at the GGA-PBE level.

Cell: 10.4469 10.4469 5.9947 Å, 90.00 90.00 90.00°
Space group P4_2/n (No. 86, origin choice 2)
Inequivalent atoms, fractional coordinates:
Cs  0.2500  0.2500  0.2500 x2
Tl  0.1218  0.6354  0.1319 x8
Se  0.0400  0.9197  0.1577 x8

Computed properties:
The calculation puts the uncorrected formation energy at -391 meV per atom. The density comes out at 6.43 g/cm3. As for the density of states at the Fermi level: 0.28 states/eV/atom.


# 6
Below is In7SnHg2 after structural relaxation, with properties calculated at the GGA-PBE level.

Cell: 6.2022 27.6268 3.1870 Å, 90.00 90.00 90.00°
Space group Cmmm (No. 65)
Inequivalent atoms, fractional coordinates:
In  0.0000  0.0000  0.0000 x2
In  0.0000  0.1955  0.5000 x4
In  0.2468  0.3990  0.0000 x8
Sn  0.0000  0.5000  0.5000 x2
Hg  0.0000  0.2970  0.0000 x4

Computed properties:
The energy of formation is 0.036 eV/atom. The density comes out at 8.05 g/cm3. As for the density of states at the Fermi level: 0.42 states/eV/atom.


# 7
Below is BiAuS2 after structural relaxation, with properties calculated at the GGA-PBE level.

Cell: 5.9235 5.9235 12.8137 Å, 90.00 90.00 90.00°
Space group I-42d (No. 122)
Inequivalent atoms, fractional coordinates:
Bi  0.0000  0.0000  0.0000 x4
Au  0.0000  0.0000  0.5000 x4
S  0.2206  0.2500  0.6250 x8

Computed properties:
The calculation puts the uncorrected formation energy at -14 meV per atom. The density comes out at 6.94 g/cm3. As for the density of states at the Fermi level: 0.00 states/eV/atom.


# 8
Below is Sc2Ag2Cl after structural relaxation, with properties calculated at the GGA-PBE level.

Cell: 6.9915 6.9915 4.3780 Å, 90.00 90.00 90.00°
Space group P4/mbm (No. 127)
Inequivalent atoms, fractional coordinates:
Sc  0.1639  0.3361  0.0000 x4
Ag  0.1376  0.6376  0.5000 x4
Cl  0.0000  0.0000  0.0000 x2

Computed properties:
The calculation puts the uncorrected formation energy at -464 meV per atom. The density comes out at 5.29 g/cm3. As for the density of states at the Fermi level: 0.86 states/eV/atom.


Please write out number 3 again, unchanged.
Below is PrTmCd4 after structural relaxation, with properties calculated at the GGA-PBE level.

Cell: 3.4318 5.0363 8.7200 Å, 90.00 90.00 90.00°
Space group Pmmm (No. 47)
Inequivalent atoms, fractional coordinates:
Pr  0.0000  0.0000  0.0000 x1
Tm  0.0000  0.5000  0.5000 x1
Cd  0.5000  0.0000  0.3387 x2
Cd  0.5000  0.5000  0.1737 x2

Computed properties:
The excess energy over the best structure of this formula in the dataset is 0 meV per atom. The energy of formation is -0.315 eV/atom. The density comes out at 8.37 g/cm3. As for the density of states at the Fermi level: 0.64 states/eV/atom.